The following is a DFT calculation (PBE-GGA) of a geometry-optimized Zn2AsI structure.

Properties
As for the uncorrected energy: -2.456 eV/atom. Its size of the total moment is 0.00 μB/f.u.

Unit cell a=4.2765 b=8.9417 c=6.1406 alpha=90.00 beta=90.00 gamma=90.00
Space group Pmn2_1 (No. 31)
Symmetry-distinct sites (fractional):
Zn: 0.0000 0.0571 0.0000 (multiplicity 2)
Zn: 0.0000 0.6625 0.8638 (multiplicity 2)
As: 0.0000 0.8941 0.6779 (multiplicity 2)
I: 0.0000 0.3851 0.6582 (multiplicity 2)


The following is a DFT calculation (PBE-GGA) of a geometry-optimized ZrAs2I structure.

Properties
As for the uncorrected energy: -4.878 eV/atom. Its size of the total moment is 0.00 μB/f.u.

Unit cell a=4.5646 b=4.5646 c=20.0689 alpha=90.00 beta=90.00 gamma=90.00
Space group I-42d (No. 122)
Symmetry-distinct sites (fractional):
Zr: 0.0000 0.0000 0.0000 (multiplicity 4)
As: 0.1278 0.2500 0.1250 (multiplicity 8)
I: 0.0000 0.0000 0.5000 (multiplicity 4)


The following is a DFT calculation (PBE-GGA) of a geometry-optimized Zr2AsI2 structure.

Properties
As for the uncorrected energy: -5.979 eV/atom. Its size of the total moment is 0.00 μB/f.u.

Unit cell a=4.0527 b=4.0527 c=32.0002 alpha=90.00 beta=90.00 gamma=120.00
Space group R-3m (No. 166, hexagonal axes)
Symmetry-distinct sites (fractional):
Zr: 0.0000 0.0000 0.1269 (multiplicity 6)
As: 0.0000 0.0000 0.5000 (multiplicity 3)
I: 0.0000 0.0000 0.2687 (multiplicity 6)


The following is a DFT calculation (PBE-GGA) of a geometry-optimized Zr2AsI structure.

Properties
As for the uncorrected energy: -6.326 eV/atom. Its size of the total moment is 0.00 μB/f.u.

Unit cell a=6.9593 b=6.9593 c=6.9593 alpha=90.00 beta=90.00 gamma=90.00
Space group Fm-3m (No. 225)
Symmetry-distinct sites (fractional):
Zr: 0.2500 0.2500 0.2500 (multiplicity 8)
As: 0.0000 0.0000 0.0000 (multiplicity 4)
I: 0.0000 0.0000 0.5000 (multiplicity 4)